Material: HfNiMo
Method: DFT, PBE-GGA
State: optimized geometry

CIF file:
```
data_HfNiMo
_chemical_formula_sum 'Hf4 Ni4 Mo4'
_space_group_name_H-M_alt 'F -4 3 m'
_space_group_IT_number 216
_space_group_name_Hall 'F -4 2 3'
_cell_length_a 5.944
_cell_length_b 5.944
_cell_length_c 5.944
_cell_angle_alpha 90.00
_cell_angle_beta 90.00
_cell_angle_gamma 90.00
loop_
_atom_site_label
_atom_site_type_symbol
_atom_site_fract_x
_atom_site_fract_y
_atom_site_fract_z
Hf1 Hf 0.000 0.000 0.000
Ni1 Ni 0.250 0.250 0.250
Mo1 Mo 0.000 0.000 0.500
```

Results
Relative energy among the computed polymorphs = 0.000 eV per atom
Energy relative to the elements = 0.30 eV per atom